Entry 1:
This record from Alexandria via LeMat-Bulk describes crystalline Tm4Ni3Pd at its relaxed geometry. The functional is PBE.

Summary:
calculated density	10.1	g cm⁻³
E_tot	-5.655	eV/atom
energy of formation from the pure elements	-603	meV per atom
symmetry	No. 25

Unit cell a=3.630 b=4.311 c=10.108 alpha=90.00 beta=90.00 gamma=90.00
Element x y z (fractional)
Ni 0.000 0.500 0.574
Ni 0.000 0.000 0.427
Ni 0.500 0.000 0.917
Tm 0.500 0.500 0.369
Tm 0.000 0.500 0.854
Tm 0.000 0.000 0.142
Tm 0.500 0.000 0.638
Pd 0.500 0.500 0.080

***

Entry 2:
This record from Alexandria via LeMat-Bulk describes crystalline Li3TiRh at its relaxed geometry. The functional is PBE.

Summary:
calculated density	3.2	g cm⁻³
E_tot	-2.874	eV/atom
energy of formation from the pure elements	1324	meV per atom
symmetry	No. 221

Unit cell a=4.480 b=4.480 c=4.480 alpha=90.00 beta=90.00 gamma=90.00
Element x y z (fractional)
Li 0.000 0.500 0.000
Li 0.000 0.000 0.500
Li 0.500 0.000 0.000
Rh 0.500 0.500 0.500
Ti 0.000 0.000 0.000

***

Entry 3:
This record from Alexandria via LeMat-Bulk describes crystalline CaIrOF2 at its relaxed geometry. The functional is PBE.

Summary:
calculated density	5.8	g cm⁻³
E_tot	-4.785	eV/atom
energy above the lowest structure with this stoichiometry	0.525	eV/atom
raw formation energy	-0.873	eV/atom
symmetry	No. 123

Unit cell a=4.166 b=4.166 c=4.738 alpha=90.00 beta=90.00 gamma=90.00
Element x y z (fractional)
Ca 0.000 0.000 0.000
Ir 0.500 0.500 0.500
O 0.000 0.000 0.500
F 0.000 0.500 0.000
F 0.500 0.000 0.000

***

Entry 4:
This record from Alexandria via LeMat-Bulk describes crystalline SiBMo4 at its relaxed geometry. The functional is PBE.

Summary:
calculated density	7.7	g cm⁻³
E_tot	-9.104	eV/atom
energy above the lowest structure with this stoichiometry	0.444	eV/atom
raw formation energy	0.133	eV/atom
symmetry	No. 14

Unit cell a=4.811 b=6.307 c=6.883 alpha=119.11 beta=90.00 gamma=90.00
Element x y z (fractional)
Si 0.000 0.500 0.500
Si 0.500 0.000 0.500
B 0.500 0.500 0.000
B 0.000 0.000 0.000
Mo 0.229 0.814 0.149
Mo 0.271 0.314 0.149
Mo 0.787 0.655 0.270
Mo 0.287 0.845 0.730
Mo 0.713 0.155 0.270
Mo 0.213 0.345 0.730
Mo 0.729 0.686 0.851
Mo 0.771 0.186 0.851

***

Entry 5:
This record from Alexandria via LeMat-Bulk describes crystalline Pr2NdSe at its relaxed geometry. The functional is PBE.

Summary:
calculated density	6.3	g cm⁻³
E_tot	-5.244	eV/atom
energy above the lowest structure with this stoichiometry	0.008	eV/atom
raw formation energy	-0.791	eV/atom
symmetry	No. 166

Unit cell a=3.936 b=3.936 c=10.154 alpha=78.82 beta=78.82 gamma=60.00
Element x y z (fractional)
Pr 0.268 0.268 0.197
Pr 0.732 0.732 0.803
Nd 0.500 0.500 0.500
Se 0.000 0.000 0.000

***

Entry 6:
This record from Alexandria via LeMat-Bulk describes crystalline Zr2Ni3Pt2 at its relaxed geometry. The functional is PBE.

Summary:
calculated density	10.9	g cm⁻³
E_tot	-7.064	eV/atom
energy of formation from the pure elements	-418	meV per atom
energy above the lowest structure with this stoichiometry	0.177	eV/atom
symmetry	No. 199

Unit cell a=6.661 b=6.661 c=6.661 alpha=109.47 beta=109.47 gamma=109.47
Element x y z (fractional)
Zr 0.000 0.000 0.509
Zr 0.500 0.509 0.500
Zr 0.491 0.991 0.991
Zr 0.009 0.500 0.000
Ni 0.779 0.750 0.029
Ni 0.721 0.250 0.471
Ni 0.971 0.221 0.250
Ni 0.529 0.279 0.750
Ni 0.250 0.029 0.279
Ni 0.750 0.471 0.221
Pt 0.000 0.000 0.890
Pt 0.500 0.890 0.500
Pt 0.110 0.610 0.610
Pt 0.390 0.500 0.000

***

Entry 7:
This record from Alexandria via LeMat-Bulk describes crystalline Ca2CdInH at its relaxed geometry. The functional is PBE.

Summary:
calculated density	4.5	g cm⁻³
E_tot	-2.501	eV/atom
energy above the lowest structure with this stoichiometry	0.048	eV/atom
symmetry	No. 123

Unit cell a=5.055 b=5.055 c=4.446 alpha=90.00 beta=90.00 gamma=90.00
Element x y z (fractional)
H 0.000 0.000 0.000
Ca 0.000 0.500 0.000
Ca 0.500 0.000 0.000
Cd 0.500 0.500 0.500
In 0.000 0.000 0.500

***

Entry 8:
This record from Alexandria via LeMat-Bulk describes crystalline Rb2PmGe2S6 at its relaxed geometry. The functional is PBE.

Summary:
calculated density	3.2	g cm⁻³
E_tot	-4.605	eV/atom
raw formation energy	-0.907	eV/atom
symmetry	No. 12

Unit cell a=7.434 b=6.759 c=8.461 alpha=104.43 beta=90.00 gamma=123.36
Element x y z (fractional)
Rb 0.693 0.386 0.130
Rb 0.307 0.614 0.870
Pm 0.500 0.000 0.500
Ge 0.958 0.916 0.630
Ge 0.042 0.084 0.370
S 0.754 0.508 0.543
S 0.210 0.923 0.236
S 0.287 0.077 0.764
S 0.790 0.077 0.764
S 0.713 0.923 0.236
S 0.246 0.492 0.457

***

Entry 9:
This record from Alexandria via LeMat-Bulk describes crystalline PrBi3Se6 at its relaxed geometry. The functional is PBE.

Summary:
calculated density	6.8	g cm⁻³
E_tot	-4.498	eV/atom
raw formation energy	-0.765	eV/atom
symmetry	No. 11

Unit cell a=4.192 b=12.358 c=12.299 alpha=108.35 beta=90.00 gamma=90.00
Element x y z (fractional)
Pr 0.750 0.040 0.692
Pr 0.250 0.960 0.308
Bi 0.750 0.438 0.838
Bi 0.250 0.562 0.162
Bi 0.750 0.699 0.470
Bi 0.250 0.301 0.530
Bi 0.750 0.152 0.098
Bi 0.250 0.848 0.902
Se 0.750 0.466 0.617
Se 0.250 0.534 0.383
Se 0.750 0.928 0.108
Se 0.250 0.072 0.892
Se 0.750 0.402 0.078
Se 0.250 0.598 0.922
Se 0.750 0.759 0.268
Se 0.250 0.241 0.732
Se 0.750 0.105 0.468
Se 0.250 0.895 0.532
Se 0.750 0.805 0.742
Se 0.250 0.195 0.258

***

Entry 10:
This record from Alexandria via LeMat-Bulk describes crystalline PmYCd3 at its relaxed geometry. The functional is PBE.

Summary:
calculated density	7.3	g cm⁻³
E_tot	-3.108	eV/atom
energy of formation from the pure elements	-316	meV per atom
energy above the lowest structure with this stoichiometry	0.000	eV/atom
symmetry	No. 63

Unit cell a=3.514 b=5.017 c=14.932 alpha=90.00 beta=96.76 gamma=90.00
Element x y z (fractional)
Pm 0.925 0.750 0.850
Pm 0.075 0.250 0.150
Y 0.214 0.750 0.428
Y 0.786 0.250 0.572
Cd 0.622 0.750 0.244
Cd 0.378 0.250 0.756
Cd 0.524 0.750 0.048
Cd 0.476 0.250 0.952
Cd 0.677 0.250 0.354
Cd 0.323 0.750 0.646